No. 1
Below is crystalline TbYAl at its relaxed geometry, with properties calculated at the PBE level.

Cell lengths 7.1824, 7.1824, 7.1824 Å; angles 90.00, 90.00, 90.00 degrees
Space group F-43m (No. 216)
Asymmetric unit:
Tb 0.0000 0.0000 0.0000
Y 0.2500 0.2500 0.7500
Al 0.0000 0.0000 0.5000

- uncorrected energy (eV/atom) = -4.423
- volume (Å³/cell) = 370.5

No. 2
Below is crystalline TbY2Al9 at its relaxed geometry, with properties calculated at the PBE level.

Cell lengths 6.2028, 6.2028, 21.1516 Å; angles 90.00, 90.00, 120.00 degrees
Space group R-3m (No. 166, hexagonal axes)
Asymmetric unit:
Tb 0.0000 0.0000 0.0000
Y 0.0000 0.0000 0.2179
Al 0.0000 0.5000 0.0000
Al 0.0403 0.5201 0.2232

- uncorrected energy (eV/atom) = -4.709
- volume (Å³/cell) = 704.8

No. 3
Below is crystalline Al2Tc at its relaxed geometry, with properties calculated at the PBE level.

Cell lengths 7.0205, 7.0205, 7.0205 Å; angles 90.00, 90.00, 90.00 degrees
Space group Fd-3m (No. 227, origin choice 2)
Asymmetric unit:
Al 0.0000 0.0000 0.0000
Tc 0.1250 0.1250 0.6250

- relative energy among the computed polymorphs (eV per atom) = 0.0000
- uncorrected energy (eV/atom) = -5.929
- volume (Å³/cell) = 346.0

No. 4
Below is crystalline Al2Tc at its relaxed geometry, with properties calculated at the PBE level.

Cell lengths 11.1158, 11.1158, 11.1158 Å; angles 90.00, 90.00, 90.00 degrees
Space group Fd-3m (No. 227, origin choice 2)
Asymmetric unit:
Al 0.0000 0.0000 0.0000
Tc 0.1250 0.1250 0.1250

- relative energy among the computed polymorphs (eV per atom) = 1.5608
- uncorrected energy (eV/atom) = -4.368
- volume (Å³/cell) = 1373.5

No. 5
Below is crystalline Al2Tc3 at its relaxed geometry, with properties calculated at the PBE level.

Cell lengths 7.3988, 7.3988, 9.2485 Å; angles 90.00, 90.00, 120.00 degrees
Space group R-3c (No. 167, hexagonal axes)
Asymmetric unit:
Al 0.0000 0.0000 0.1244
Tc 0.0000 0.3240 0.2500

- uncorrected energy (eV/atom) = -7.547
- volume (Å³/cell) = 438.5

No. 6
Below is crystalline AlTc3 at its relaxed geometry, with properties calculated at the PBE level.

Cell lengths 5.4311, 5.4311, 4.5335 Å; angles 90.00, 90.00, 120.00 degrees
Space group P6_3/mmc (No. 194)
Asymmetric unit:
Al 0.3333 0.6667 0.2500
Tc 0.1707 0.3414 0.7500

- uncorrected energy (eV/atom) = -8.820
- volume (Å³/cell) = 115.8

No. 7
Below is crystalline Al2Tc at its relaxed geometry, with properties calculated at the PBE level.

Cell lengths 6.6302, 6.6302, 2.6786 Å; angles 90.00, 90.00, 90.00 degrees
Space group P4_2/mnm (No. 136)
Asymmetric unit:
Al 0.2339 0.2339 0.0000
Tc 0.0000 0.0000 0.5000

- relative energy among the computed polymorphs (eV per atom) = 0.0963
- uncorrected energy (eV/atom) = -5.833
- volume (Å³/cell) = 117.8

No. 8
Below is crystalline Al12Tc5 at its relaxed geometry, with properties calculated at the PBE level.

Cell lengths 7.4582, 7.4582, 15.8518 Å; angles 90.00, 90.00, 120.00 degrees
Space group R3 (No. 146, hexagonal axes)
Asymmetric unit:
Al 0.0000 0.0000 0.0000
Al 0.0000 0.0000 0.2375
Al 0.0000 0.0000 0.6181
Al 0.9999 0.7131 0.1189
Al 0.0210 0.3796 0.0337
Al 0.0474 0.3553 0.5371
Tc 0.0000 0.0000 0.4637
Tc 0.0000 0.0000 0.7722
Tc 0.9997 0.6591 0.6191

- uncorrected energy (eV/atom) = -5.937
- volume (Å³/cell) = 763.6

No. 9
Below is crystalline AlTc3 at its relaxed geometry, with properties calculated at the PBE level.

Cell lengths 3.6843, 3.6843, 8.5558 Å; angles 90.00, 90.00, 90.00 degrees
Space group I4/mmm (No. 139)
Asymmetric unit:
Al 0.0000 0.0000 0.0000
Tc 0.0000 0.0000 0.5000
Tc 0.0000 0.5000 0.2500

- uncorrected energy (eV/atom) = -8.798
- volume (Å³/cell) = 116.1

No. 10
Below is crystalline Al4Tc at its relaxed geometry, with properties calculated at the PBE level.

Cell lengths 5.2004, 17.6255, 5.1602 Å; angles 90.00, 100.90, 90.00 degrees
Space group Cm (No. 8)
Asymmetric unit:
Al 0.0000 0.0000 0.0000
Al 0.1233 0.2513 0.4375
Al 0.1513 0.5000 0.3606
Al 0.3261 0.1197 0.2917
Al 0.4604 0.2335 0.9172
Al 0.4670 0.3750 0.6979
Al 0.4889 0.0764 0.8253
Tc 0.1583 0.0000 0.5141
Tc 0.3146 0.3624 0.1767

- uncorrected energy (eV/atom) = -5.444
- volume (Å³/cell) = 464.5

No. 11
Below is crystalline Al3Tc at its relaxed geometry, with properties calculated at the PBE level.

Cell lengths 6.8719, 8.2362, 8.2543 Å; angles 90.00, 90.00, 90.00 degrees
Space group Fmmm (No. 69)
Asymmetric unit:
Al 0.0000 0.0000 0.2480
Al 0.0000 0.2474 0.0000
Al 0.2470 0.0000 0.5000
Tc 0.2500 0.2500 0.2500

- uncorrected energy (eV/atom) = -5.638
- volume (Å³/cell) = 467.2

No. 12
Below is crystalline Al3Tc at its relaxed geometry, with properties calculated at the PBE level.

Cell lengths 3.8250, 3.8250, 8.0660 Å; angles 90.00, 90.00, 90.00 degrees
Space group I4/mmm (No. 139)
Asymmetric unit:
Al 0.0000 0.0000 0.0000
Al 0.0000 0.5000 0.2500
Tc 0.0000 0.0000 0.5000

- uncorrected energy (eV/atom) = -5.717
- volume (Å³/cell) = 118.0

No. 13
Below is crystalline Al2TcTe at its relaxed geometry, with properties calculated at the PBE level.

Cell lengths 6.5265, 6.5265, 6.5265 Å; angles 90.00, 90.00, 90.00 degrees
Space group F-43m (No. 216)
Asymmetric unit:
Al 0.0000 0.0000 0.0000
Al 0.2500 0.2500 0.2500
Tc 0.0000 0.0000 0.5000
Te 0.2500 0.2500 0.7500

- uncorrected energy (eV/atom) = -4.951
- volume (Å³/cell) = 278.0

No. 14
Below is crystalline AlTc2Te2 at its relaxed geometry, with properties calculated at the PBE level.

Cell lengths 4.0470, 4.0470, 14.3604 Å; angles 90.00, 90.00, 90.00 degrees
Space group I4/mmm (No. 139)
Asymmetric unit:
Al 0.0000 0.0000 0.0000
Tc 0.0000 0.5000 0.2500
Te 0.0000 0.0000 0.3694

- uncorrected energy (eV/atom) = -5.774
- volume (Å³/cell) = 235.2

No. 15
Below is crystalline ThAlTc at its relaxed geometry, with properties calculated at the PBE level.

Cell lengths 6.5180, 6.5180, 6.5180 Å; angles 90.00, 90.00, 90.00 degrees
Space group F-43m (No. 216)
Asymmetric unit:
Th 0.0000 0.0000 0.0000
Al 0.2500 0.2500 0.7500
Tc 0.0000 0.0000 0.5000

- relative energy among the computed polymorphs (eV per atom) = 0.7308
- uncorrected energy (eV/atom) = -6.864
- volume (Å³/cell) = 276.9

No. 16
Below is crystalline ThAlTc at its relaxed geometry, with properties calculated at the PBE level.

Cell lengths 7.4335, 4.8151, 7.0326 Å; angles 90.00, 90.00, 90.00 degrees
Space group Pnma (No. 62)
Asymmetric unit:
Th 0.0367 0.2500 0.1968
Al 0.1924 0.2500 0.6249
Tc 0.1519 0.7500 0.4658

- relative energy among the computed polymorphs (eV per atom) = 0.0000
- uncorrected energy (eV/atom) = -7.595
- volume (Å³/cell) = 251.7

No. 17
Below is crystalline AlTl2Tc at its relaxed geometry, with properties calculated at the PBE level.

Cell lengths 6.9281, 6.9281, 6.9281 Å; angles 90.00, 90.00, 90.00 degrees
Space group F-43m (No. 216)
Asymmetric unit:
Al 0.0000 0.0000 0.0000
Tl 0.0000 0.0000 0.5000
Tl 0.2500 0.2500 0.2500
Tc 0.2500 0.2500 0.7500

- uncorrected energy (eV/atom) = -3.921
- volume (Å³/cell) = 332.5

No. 18
Below is crystalline AlTlTc at its relaxed geometry, with properties calculated at the PBE level.

Cell lengths 6.2850, 6.2850, 6.2850 Å; angles 90.00, 90.00, 90.00 degrees
Space group F-43m (No. 216)
Asymmetric unit:
Al 0.0000 0.0000 0.0000
Tl 0.0000 0.0000 0.5000
Tc 0.2500 0.2500 0.2500

- relative energy among the computed polymorphs (eV per atom) = 0.0000
- uncorrected energy (eV/atom) = -4.898
- volume (Å³/cell) = 248.3

No. 19
Below is crystalline Al2TlTc at its relaxed geometry, with properties calculated at the PBE level.

Cell lengths 6.5394, 6.5394, 6.5394 Å; angles 90.00, 90.00, 90.00 degrees
Space group F-43m (No. 216)
Asymmetric unit:
Al 0.0000 0.0000 0.0000
Al 0.2500 0.2500 0.2500
Tl 0.2500 0.2500 0.7500
Tc 0.0000 0.0000 0.5000

- uncorrected energy (eV/atom) = -4.520
- volume (Å³/cell) = 279.7

No. 20
Below is crystalline AlTcW2 at its relaxed geometry, with properties calculated at the PBE level.

Cell lengths 6.2611, 6.2611, 6.2611 Å; angles 90.00, 90.00, 90.00 degrees
Space group F-43m (No. 216)
Asymmetric unit:
Al 0.0000 0.0000 0.0000
Tc 0.2500 0.2500 0.2500
W 0.0000 0.0000 0.5000
W 0.2500 0.2500 0.7500

- uncorrected energy (eV/atom) = -10.036
- volume (Å³/cell) = 245.4

No. 21
Below is crystalline AlTc2W at its relaxed geometry, with properties calculated at the PBE level.

Cell lengths 6.2025, 6.2025, 6.2025 Å; angles 90.00, 90.00, 90.00 degrees
Space group F-43m (No. 216)
Asymmetric unit:
Al 0.0000 0.0000 0.0000
Tc 0.0000 0.0000 0.5000
Tc 0.2500 0.2500 0.7500
W 0.2500 0.2500 0.2500

- uncorrected energy (eV/atom) = -9.296
- volume (Å³/cell) = 238.6

No. 22
Below is crystalline Y2Al3Tc at its relaxed geometry, with properties calculated at the PBE level.

Cell lengths 5.5265, 5.5265, 8.9205 Å; angles 90.00, 90.00, 120.00 degrees
Space group P6_3/mmc (No. 194)
Asymmetric unit:
Y 0.3333 0.6667 0.0521
Al 0.1619 0.3239 0.7500
Tc 0.0000 0.0000 0.0000

- uncorrected energy (eV/atom) = -6.272
- volume (Å³/cell) = 235.9

No. 23
Below is crystalline YAlTc at its relaxed geometry, with properties calculated at the PBE level.

Cell lengths 6.5777, 6.5777, 6.5777 Å; angles 90.00, 90.00, 90.00 degrees
Space group F-43m (No. 216)
Asymmetric unit:
Y 0.0000 0.0000 0.0000
Al 0.2500 0.2500 0.7500
Tc 0.2500 0.2500 0.2500

- uncorrected energy (eV/atom) = -5.824
- volume (Å³/cell) = 284.6

No. 24
Below is crystalline Al2ZnTc at its relaxed geometry, with properties calculated at the PBE level.

Cell lengths 6.1532, 6.1532, 6.1532 Å; angles 90.00, 90.00, 90.00 degrees
Space group F-43m (No. 216)
Asymmetric unit:
Al 0.0000 0.0000 0.0000
Al 0.2500 0.2500 0.2500
Zn 0.0000 0.0000 0.5000
Tc 0.2500 0.2500 0.7500

- uncorrected energy (eV/atom) = -4.736
- volume (Å³/cell) = 233.0

No. 25
Below is crystalline ZrAl2Tc at its relaxed geometry, with properties calculated at the PBE level.

Cell lengths 6.4102, 6.4102, 6.4102 Å; angles 90.00, 90.00, 90.00 degrees
Space group F-43m (No. 216)
Asymmetric unit:
Zr 0.0000 0.0000 0.0000
Al 0.0000 0.0000 0.5000
Al 0.2500 0.2500 0.7500
Tc 0.2500 0.2500 0.2500

- uncorrected energy (eV/atom) = -6.922
- volume (Å³/cell) = 263.4

No. 26
Below is crystalline Zr2AlTc3 at its relaxed geometry, with properties calculated at the PBE level.

Cell lengths 5.2594, 5.2594, 8.6103 Å; angles 90.00, 90.00, 120.00 degrees
Space group P6_3/mmc (No. 194)
Asymmetric unit:
Zr 0.3333 0.6667 0.0651
Al 0.0000 0.0000 0.0000
Tc 0.1708 0.3416 0.7500

- uncorrected energy (eV/atom) = -9.105
- volume (Å³/cell) = 206.3